Entry 1:
Here is a relaxed Hf3BeGa crystal from Alexandria. Energies are from PBE-GGA.

Summary:
As for the excess energy over the best structure of this formula in the dataset: 106 meV/atom. Its density of states at the Fermi level is 3.65 states/eV/cell. The calculation puts the formation energy at 0.127 eV/atom.

The structure in CIF format:
```
data_Hf3BeGa
_symmetry_space_group_name_H-M 'P m -3 m'
_symmetry_Int_Tables_number 221
_symmetry_space_group_name_Hall '-P 4 2 3'
_cell_length_a 4.632
_cell_length_b 4.632
_cell_length_c 4.632
_cell_angle_alpha 90.00
_cell_angle_beta 90.00
_cell_angle_gamma 90.00
loop_
_atom_site_label
_atom_site_type_symbol
_atom_site_fract_x
_atom_site_fract_y
_atom_site_fract_z
Hf1 Hf 0.000 0.000 0.500
Be1 Be 0.000 0.000 0.000
Ga1 Ga 0.500 0.500 0.500
```

***

Entry 2:
Here is a relaxed BaGe4Pd4 crystal from Alexandria. Energies are from PBE-GGA.

Summary:
As for the excess energy over the best structure of this formula in the dataset: 0 meV/atom. Its density of states at the Fermi level is 5.17 states/eV/cell. The calculation puts the formation energy at -0.530 eV/atom.

The structure in CIF format:
```
data_BaGe4Pd4
_symmetry_space_group_name_H-M 'P 42/n m c'
_symmetry_Int_Tables_number 137
_cell_length_a 6.316
_cell_length_b 6.316
_cell_length_c 8.723
_cell_angle_alpha 90.00
_cell_angle_beta 90.00
_cell_angle_gamma 90.00
loop_
_symmetry_equiv_pos_as_xyz
'x,y,z'
'-x,-y,-z'
'-y+1/2,x,z+1/2'
'y+1/2,-x,-z+1/2'
'-x+1/2,-y+1/2,z'
'x+1/2,y+1/2,-z'
'y,-x+1/2,z+1/2'
'-y,x+1/2,-z+1/2'
'x+1/2,-y,-z'
'-x+1/2,y,z'
'-y,-x,-z+1/2'
'y,x,z+1/2'
'-x,y+1/2,-z'
'x,-y+1/2,z'
'y+1/2,x+1/2,-z+1/2'
'-y+1/2,-x+1/2,z+1/2'
loop_
_atom_site_label
_atom_site_type_symbol
_atom_site_fract_x
_atom_site_fract_y
_atom_site_fract_z
Ba1 Ba 0.250 0.750 0.250
Ge1 Ge 0.047 0.250 0.085
Pd1 Pd 0.022 0.250 0.377
```

***

Entry 3:
Here is a relaxed Cu2OsI2 crystal from Alexandria. Energies are from PBE-GGA.

Summary:
As for the excess energy over the best structure of this formula in the dataset: 126 meV/atom. Its density of states at the Fermi level is 7.38 states/eV/cell. The calculation puts the formation energy from raw total energies at 1238 meV per atom.

The structure in CIF format:
```
data_Cu2OsI2
_symmetry_space_group_name_H-M 'I 4/m m m'
_symmetry_Int_Tables_number 139
_symmetry_space_group_name_Hall '-I 4 2'
_cell_length_a 5.365
_cell_length_b 5.365
_cell_length_c 7.556
_cell_angle_alpha 90.00
_cell_angle_beta 90.00
_cell_angle_gamma 90.00
loop_
_atom_site_label
_atom_site_type_symbol
_atom_site_fract_x
_atom_site_fract_y
_atom_site_fract_z
Cu1 Cu 0.000 0.000 0.161
Os1 Os 0.000 0.000 0.500
I1 I 0.000 0.500 0.250
```

***

Entry 4:
Here is a relaxed K2Rb4Cd crystal from Alexandria. Energies are from PBE-GGA.

Summary:
As for the excess energy over the best structure of this formula in the dataset: 0 meV/atom. Its density of states at the Fermi level is 22.34 states/eV/cell. The calculation puts the formation energy at 0.004 eV/atom.

The structure in CIF format:
```
data_K2Rb4Cd
_symmetry_space_group_name_H-M 'I 4/m c m'
_symmetry_Int_Tables_number 140
_symmetry_space_group_name_Hall '-I 4 2c'
_cell_length_a 16.039
_cell_length_b 16.039
_cell_length_c 7.751
_cell_angle_alpha 90.00
_cell_angle_beta 90.00
_cell_angle_gamma 90.00
loop_
_atom_site_label
_atom_site_type_symbol
_atom_site_fract_x
_atom_site_fract_y
_atom_site_fract_z
K1 K 0.100 0.400 0.000
Rb1 Rb 0.094 0.194 0.500
Cd1 Cd 0.000 0.000 0.250
```

***

Entry 5:
Here is a relaxed CsYCo2Br8 crystal from Alexandria. Energies are from PBE-GGA.

Summary:
The calculation puts the formation energy from raw total energies at -1046 meV per atom.

The structure in CIF format:
```
data_CsYCo2Br8
_symmetry_space_group_name_H-M 'C 1 2/m 1'
_symmetry_Int_Tables_number 12
_cell_length_a 11.334
_cell_length_b 7.709
_cell_length_c 10.603
_cell_angle_alpha 90.00
_cell_angle_beta 98.11
_cell_angle_gamma 90.00
loop_
_symmetry_equiv_pos_as_xyz
'x,y,z'
'-x,-y,-z'
'-x,y,-z'
'x,-y,z'
'x+1/2,y+1/2,z'
'-x+1/2,-y+1/2,-z'
'-x+1/2,y+1/2,-z'
'x+1/2,-y+1/2,z'
loop_
_atom_site_label
_atom_site_type_symbol
_atom_site_fract_x
_atom_site_fract_y
_atom_site_fract_z
Cs1 Cs 0.000 0.000 0.000
Y1 Y 0.000 0.000 0.500
Co1 Co 0.113 0.500 0.298
Br1 Br 0.021 0.252 0.697
Br2 Br 0.184 0.500 0.102
Br3 Br 0.248 0.000 0.507
```

***

Entry 6:
Here is a relaxed Pm6NdY12 crystal from Alexandria. Energies are from PBE-GGA.

Summary:
As for the excess energy over the best structure of this formula in the dataset: 0 meV/atom. Its density of states at the Fermi level is 80.19 states/eV/cell. The calculation puts the formation energy at 0.016 eV/atom.

The structure in CIF format:
```
data_Pm6NdY12
_symmetry_space_group_name_H-M 'R -3'
_symmetry_Int_Tables_number 148
_symmetry_space_group_name_Hall '-R 3'
_cell_length_a 15.6917
_cell_length_b 15.6917
_cell_length_c 8.8232
_cell_angle_alpha 90.00
_cell_angle_beta 90.00
_cell_angle_gamma 120.00
loop_
_atom_site_label
_atom_site_type_symbol
_atom_site_fract_x
_atom_site_fract_y
_atom_site_fract_z
Pm1 Pm 0.0355 0.7549 0.3331
Nd1 Nd 0.0000 0.0000 0.0000
Y1 Y 0.0174 0.8772 0.6664
Y2 Y 0.0703 0.5090 0.6672
```